# 1
The following is a DFT calculation (GGA-PBE) of a relaxed Pr3Ni2Au4 crystal.

Calculated values
* total moment: 0.0 μB/f.u.
* density of states at the Fermi level: 0.590 states/eV per atom
* space group: C2/m
* calculated formation energy: -0.59 eV/atom

```
data_Pr3Ni2Au4
_chemical_formula_sum 'Pr3 Ni2 Au4'
_space_group_name_H-M_alt 'P 1'
_space_group_IT_number 1
_space_group_name_Hall 'P 1'
_cell_length_a 4.262
_cell_length_b 6.008
_cell_length_c 8.915
_cell_angle_alpha 74.05
_cell_angle_beta 76.17
_cell_angle_gamma 69.23
loop_
_atom_site_label
_atom_site_fract_x
_atom_site_fract_y
_atom_site_fract_z
Au1 0.730 0.628 0.913
Au2 0.969 0.698 0.363
Au3 0.270 0.372 0.087
Au4 0.031 0.302 0.637
Ni1 0.605 0.057 0.733
Ni2 0.395 0.943 0.267
Pr1 0.000 0.000 0.000
Pr2 0.682 0.276 0.360
Pr3 0.318 0.724 0.640
```

# 2
The following is a DFT calculation (GGA-PBE) of a relaxed Pr3NiAu crystal.

Calculated values
* total moment: 0.0 μB/f.u.
* density of states at the Fermi level: 1.033 states/eV per atom
* E above lowest polymorph: 0.0 kJ per mole of atoms
* space group: P2_1/m
* calculated formation energy: -0.42 eV/atom

```
data_Pr3NiAu
_chemical_formula_sum 'Pr6 Ni2 Au2'
_space_group_name_H-M_alt 'P 1'
_space_group_IT_number 1
_space_group_name_Hall 'P 1'
_cell_length_a 4.017
_cell_length_b 8.456
_cell_length_c 8.615
_cell_angle_alpha 109.08
_cell_angle_beta 90.00
_cell_angle_gamma 90.00
loop_
_atom_site_label
_atom_site_fract_x
_atom_site_fract_y
_atom_site_fract_z
Au1 0.250 0.352 0.244
Au2 0.750 0.648 0.756
Pr1 0.750 0.055 0.243
Pr2 0.250 0.945 0.757
Pr3 0.250 0.337 0.606
Pr4 0.250 0.681 0.031
Pr5 0.750 0.319 0.969
Pr6 0.750 0.663 0.394
Ni1 0.250 0.932 0.420
Ni2 0.750 0.068 0.580
```

# 3
The following is a DFT calculation (GGA-PBE) of a relaxed Pr3NiAu3 crystal.

Calculated values
* total moment: 0.0 μB/f.u.
* density of states at the Fermi level: 0.757 states/eV per atom
* space group: Imm2
* calculated formation energy: -0.66 eV/atom

```
data_Pr3NiAu3
_chemical_formula_sum 'Pr3 Ni1 Au3'
_space_group_name_H-M_alt 'P 1'
_space_group_IT_number 1
_space_group_name_Hall 'P 1'
_cell_length_a 4.618
_cell_length_b 3.988
_cell_length_c 10.007
_cell_angle_alpha 101.49
_cell_angle_beta 103.34
_cell_angle_gamma 90.00
loop_
_atom_site_label
_atom_site_fract_x
_atom_site_fract_y
_atom_site_fract_z
Pr1 0.995 0.995 0.990
Pr2 0.322 0.822 0.645
Pr3 0.685 0.185 0.369
Ni1 0.428 0.428 0.855
Au1 0.559 0.559 0.118
Au2 0.154 0.654 0.307
Au3 0.858 0.358 0.715
```

Look up the density of states at the Fermi level of the first one. 0.590 states/eV per atom